No. 1
# PmRhAu | Alexandria via LeMat-Bulk | PBE | optimized geometry
data_PmRhAu
_chemical_formula_sum 'Pm2 Rh2 Au2'
_symmetry_space_group_name_H-M 'P 1'
_symmetry_Int_Tables_number 1
_symmetry_space_group_name_Hall 'P 1'
_cell_length_a 5.2076
_cell_length_b 5.7148
_cell_length_c 4.9097
_cell_angle_alpha 90.00
_cell_angle_beta 122.03
_cell_angle_gamma 90.00
loop_
_atom_site_label
_atom_site_type_symbol
_atom_site_fract_x
_atom_site_fract_y
_atom_site_fract_z
_atom_site_occupancy
Pm1 Pm 0.6590 0.7500 0.8179 1
Pm2 Pm 0.3410 0.2500 0.1821 1
Rh1 Rh 0.3064 0.7500 0.1128 1
Rh2 Rh 0.6936 0.2500 0.8872 1
Au1 Au 0.0000 0.5000 0.5000 1
Au2 Au 0.0000 0.0000 0.5000 1
# Crystal system: orthorhombic
# ΔH_f (0 K), meV/atom: -589
# Space-group type: Cmcm (63)
# E above lowest polymorph, eV/atom: 0.0000

No. 2
# Ce3TlOs2 | Alexandria via LeMat-Bulk | PBE | optimized geometry
data_Ce3TlOs2
_chemical_formula_sum 'Ce6 Tl2 Os4'
_symmetry_space_group_name_H-M 'P 1'
_symmetry_Int_Tables_number 1
_symmetry_space_group_name_Hall 'P 1'
_cell_length_a 6.0622
_cell_length_b 7.9469
_cell_length_c 7.9469
_cell_angle_alpha 128.36
_cell_angle_beta 90.00
_cell_angle_gamma 90.00
loop_
_atom_site_label
_atom_site_type_symbol
_atom_site_fract_x
_atom_site_fract_y
_atom_site_fract_z
_atom_site_occupancy
Ce1 Ce 0.7500 0.5511 0.1524 1
Ce2 Ce 0.7500 0.1524 0.5511 1
Ce3 Ce 0.2500 0.4489 0.8476 1
Ce4 Ce 0.7500 0.1339 0.1339 1
Ce5 Ce 0.2500 0.8661 0.8661 1
Ce6 Ce 0.2500 0.8476 0.4489 1
Tl1 Tl 0.2500 0.3480 0.3480 1
Tl2 Tl 0.7500 0.6520 0.6520 1
Os1 Os 0.5000 0.8450 0.1550 1
Os2 Os 0.0000 0.8450 0.1550 1
Os3 Os 0.0000 0.1550 0.8450 1
Os4 Os 0.5000 0.1550 0.8450 1
# Crystal system: orthorhombic
# ΔH_f (0 K), meV/atom: -42
# Space-group type: Cmcm (63)

No. 3
# AlVTcGe | Alexandria via LeMat-Bulk | PBE | optimized geometry
data_AlVTcGe
_chemical_formula_sum 'Al1 V1 Tc1 Ge1'
_symmetry_space_group_name_H-M 'P 1'
_symmetry_Int_Tables_number 1
_symmetry_space_group_name_Hall 'P 1'
_cell_length_a 4.3363
_cell_length_b 4.3363
_cell_length_c 4.3363
_cell_angle_alpha 60.00
_cell_angle_beta 60.00
_cell_angle_gamma 60.00
loop_
_atom_site_label
_atom_site_type_symbol
_atom_site_fract_x
_atom_site_fract_y
_atom_site_fract_z
_atom_site_occupancy
Ge1 Ge 0.2500 0.2500 0.2500 1
Al1 Al 0.7500 0.7500 0.7500 1
Tc1 Tc 0.5000 0.5000 0.5000 1
V1 V 0.0000 0.0000 0.0000 1
# Crystal system: cubic
# ΔH_f (0 K), meV/atom: -118
# Space-group type: F-43m (216)

No. 4
# SrSc3Bi | Alexandria via LeMat-Bulk | PBE | optimized geometry
data_SrSc3Bi
_chemical_formula_sum 'Sr1 Sc3 Bi1'
_symmetry_space_group_name_H-M 'P 1'
_symmetry_Int_Tables_number 1
_symmetry_space_group_name_Hall 'P 1'
_cell_length_a 5.6279
_cell_length_b 5.6279
_cell_length_c 5.6279
_cell_angle_alpha 90.00
_cell_angle_beta 90.00
_cell_angle_gamma 90.00
loop_
_atom_site_label
_atom_site_type_symbol
_atom_site_fract_x
_atom_site_fract_y
_atom_site_fract_z
_atom_site_occupancy
Sc1 Sc 0.0000 0.5000 0.0000 1
Sc2 Sc 0.0000 0.0000 0.5000 1
Sc3 Sc 0.5000 0.0000 0.0000 1
Sr1 Sr 0.5000 0.5000 0.5000 1
Bi1 Bi 0.0000 0.0000 0.0000 1
# Crystal system: cubic
# ΔH_f (0 K), meV/atom: 250
# Space-group type: Pm-3m (221)
# E above lowest polymorph, eV/atom: 0.0000

No. 5
# AlCoW | Alexandria via LeMat-Bulk | PBE | optimized geometry
data_AlCoW
_chemical_formula_sum 'Al6 Co6 W6'
_symmetry_space_group_name_H-M 'P 1'
_symmetry_Int_Tables_number 1
_symmetry_space_group_name_Hall 'P 1'
_cell_length_a 5.1407
_cell_length_b 5.1407
_cell_length_c 11.1521
_cell_angle_alpha 90.00
_cell_angle_beta 90.00
_cell_angle_gamma 120.00
loop_
_atom_site_label
_atom_site_type_symbol
_atom_site_fract_x
_atom_site_fract_y
_atom_site_fract_z
_atom_site_occupancy
W1 W 0.5000 0.0000 0.6667 1
W2 W 0.0000 0.0000 0.5000 1
W3 W 0.0000 0.0000 0.8333 1
W4 W 0.0000 0.0000 0.1667 1
W5 W 0.5000 0.5000 0.0000 1
W6 W 0.0000 0.5000 0.3333 1
Co1 Co 0.3676 0.7352 0.1667 1
Co2 Co 0.7352 0.3676 0.8333 1
Co3 Co 0.6324 0.3676 0.5000 1
Co4 Co 0.6324 0.2648 0.1667 1
Co5 Co 0.3676 0.6324 0.5000 1
Co6 Co 0.2648 0.6324 0.8333 1
Al1 Al 0.5000 0.5000 0.3121 1
Al2 Al 0.0000 0.5000 0.6455 1
Al3 Al 0.5000 0.5000 0.6879 1
Al4 Al 0.0000 0.5000 0.0212 1
Al5 Al 0.5000 0.0000 0.9788 1
Al6 Al 0.5000 0.0000 0.3545 1
# Crystal system: hexagonal
# ΔH_f (0 K), meV/atom: 260
# Space-group type: P6_222 (180)

No. 6
# CeTm8Te2 | Alexandria via LeMat-Bulk | PBE | optimized geometry
data_CeTm8Te2
_chemical_formula_sum 'Ce1 Tm8 Te2'
_symmetry_space_group_name_H-M 'P 1'
_symmetry_Int_Tables_number 1
_symmetry_space_group_name_Hall 'P 1'
_cell_length_a 5.6040
_cell_length_b 8.5514
_cell_length_c 8.5514
_cell_angle_alpha 60.46
_cell_angle_beta 81.74
_cell_angle_gamma 81.74
loop_
_atom_site_label
_atom_site_type_symbol
_atom_site_fract_x
_atom_site_fract_y
_atom_site_fract_z
_atom_site_occupancy
Ce1 Ce 0.0000 0.0000 0.0000 1
Tm1 Tm 0.7755 0.2348 0.6070 1
Tm2 Tm 0.2245 0.3930 0.7652 1
Tm3 Tm 0.8837 0.2169 0.2169 1
Tm4 Tm 0.1163 0.7831 0.7831 1
Tm5 Tm 0.7755 0.6070 0.2348 1
Tm6 Tm 0.2245 0.7652 0.3930 1
Tm7 Tm 0.2962 0.3578 0.3578 1
Tm8 Tm 0.7038 0.6422 0.6422 1
Te1 Te 0.4296 0.1330 0.1330 1
Te2 Te 0.5704 0.8670 0.8670 1
# Crystal system: monoclinic
# Space-group type: C2/m (12)
# Formation energy (no corrections), eV per atom: -0.10

No. 7
# TbSmGa4 | Alexandria via LeMat-Bulk | PBE | optimized geometry
data_TbSmGa4
_chemical_formula_sum 'Tb2 Sm2 Ga8'
_symmetry_space_group_name_H-M 'P 1'
_symmetry_Int_Tables_number 1
_symmetry_space_group_name_Hall 'P 1'
_cell_length_a 5.4981
_cell_length_b 5.4981
_cell_length_c 9.3291
_cell_angle_alpha 90.00
_cell_angle_beta 90.00
_cell_angle_gamma 120.00
loop_
_atom_site_label
_atom_site_type_symbol
_atom_site_fract_x
_atom_site_fract_y
_atom_site_fract_z
_atom_site_occupancy
Tb1 Tb 0.6667 0.3333 0.9304 1
Tb2 Tb 0.3333 0.6667 0.0696 1
Sm1 Sm 0.3333 0.6667 0.4295 1
Sm2 Sm 0.6667 0.3333 0.5705 1
Ga1 Ga 0.0000 0.0000 0.5000 1
Ga2 Ga 0.0000 0.0000 0.0000 1
Ga3 Ga 0.8279 0.1721 0.2471 1
Ga4 Ga 0.8279 0.6558 0.2471 1
Ga5 Ga 0.3442 0.1721 0.2471 1
Ga6 Ga 0.1721 0.8279 0.7529 1
Ga7 Ga 0.1721 0.3442 0.7529 1
Ga8 Ga 0.6558 0.8279 0.7529 1
# Crystal system: trigonal
# ΔH_f (0 K), meV/atom: -564
# Space-group type: P-3m1 (164)
# E above lowest polymorph, eV/atom: 0.0955

No. 8
# MgIrBr2 | Alexandria via LeMat-Bulk | PBE | optimized geometry
data_MgIrBr2
_chemical_formula_sum 'Mg1 Ir1 Br2'
_symmetry_space_group_name_H-M 'P 1'
_symmetry_Int_Tables_number 1
_symmetry_space_group_name_Hall 'P 1'
_cell_length_a 7.6775
_cell_length_b 7.6775
_cell_length_c 7.6775
_cell_angle_alpha 152.45
_cell_angle_beta 148.53
_cell_angle_gamma 42.31
loop_
_atom_site_label
_atom_site_type_symbol
_atom_site_fract_x
_atom_site_fract_y
_atom_site_fract_z
_atom_site_occupancy
Br1 Br 0.8811 0.8811 0.0000 1
Br2 Br 0.6189 0.6189 0.0000 1
Ir1 Ir 0.7500 0.2500 0.5000 1
Mg1 Mg 0.2500 0.7500 0.5000 1
# Crystal system: orthorhombic
# Space-group type: Immm (71)
# Formation energy (no corrections), eV per atom: -0.16
# E above lowest polymorph, eV/atom: 0.0768

No. 9
# CsRbAl2 | Alexandria via LeMat-Bulk | PBE | optimized geometry
data_CsRbAl2
_chemical_formula_sum 'Cs1 Rb1 Al2'
_symmetry_space_group_name_H-M 'P 1'
_symmetry_Int_Tables_number 1
_symmetry_space_group_name_Hall 'P 1'
_cell_length_a 6.2038
_cell_length_b 6.2038
_cell_length_c 6.2038
_cell_angle_alpha 60.00
_cell_angle_beta 60.00
_cell_angle_gamma 60.00
loop_
_atom_site_label
_atom_site_type_symbol
_atom_site_fract_x
_atom_site_fract_y
_atom_site_fract_z
_atom_site_occupancy
Cs1 Cs 0.5000 0.5000 0.5000 1
Al1 Al 0.2500 0.2500 0.2500 1
Al2 Al 0.7500 0.7500 0.7500 1
Rb1 Rb 0.0000 0.0000 0.0000 1
# Crystal system: cubic
# ΔH_f (0 K), meV/atom: 673
# Space-group type: Fm-3m (225)

No. 10
# SiPIr2I | Alexandria via LeMat-Bulk | PBE | optimized geometry
data_SiPIr2I
_chemical_formula_sum 'Si1 P1 Ir2 I1'
_symmetry_space_group_name_H-M 'P 1'
_symmetry_Int_Tables_number 1
_symmetry_space_group_name_Hall 'P 1'
_cell_length_a 4.5575
_cell_length_b 4.7255
_cell_length_c 4.5575
_cell_angle_alpha 90.00
_cell_angle_beta 90.00
_cell_angle_gamma 90.00
loop_
_atom_site_label
_atom_site_type_symbol
_atom_site_fract_x
_atom_site_fract_y
_atom_site_fract_z
_atom_site_occupancy
I1 I 0.5000 0.5000 0.5000 1
P1 P 0.0000 0.5000 0.0000 1
Si1 Si 0.0000 0.0000 0.0000 1
Ir1 Ir 0.0000 0.0000 0.5000 1
Ir2 Ir 0.5000 0.0000 0.0000 1
# Crystal system: tetragonal
# Space-group type: P4/mmm (123)
# Formation energy (no corrections), eV per atom: 1.06

No. 11
# Hf12Bi6Mo | Alexandria via LeMat-Bulk | PBE | optimized geometry
data_Hf12Bi6Mo
_chemical_formula_sum 'Hf12 Bi6 Mo1'
_symmetry_space_group_name_H-M 'P 1'
_symmetry_Int_Tables_number 1
_symmetry_space_group_name_Hall 'P 1'
_cell_length_a 8.5129
_cell_length_b 8.5129
_cell_length_c 8.5129
_cell_angle_alpha 109.52
_cell_angle_beta 109.52
_cell_angle_gamma 109.52
loop_
_atom_site_label
_atom_site_type_symbol
_atom_site_fract_x
_atom_site_fract_y
_atom_site_fract_z
_atom_site_occupancy
Hf1 Hf 0.8713 0.7036 0.6204 1
Hf2 Hf 0.6204 0.8713 0.7036 1
Hf3 Hf 0.7036 0.6204 0.8713 1
Hf4 Hf 0.1287 0.2964 0.3796 1
Hf5 Hf 0.3796 0.1287 0.2964 1
Hf6 Hf 0.2964 0.3796 0.1287 1
Hf7 Hf 0.0050 0.8812 0.3054 1
Hf8 Hf 0.1188 0.6946 0.9950 1
Hf9 Hf 0.6946 0.9950 0.1188 1
Hf10 Hf 0.9950 0.1188 0.6946 1
Hf11 Hf 0.8812 0.3054 0.0050 1
Hf12 Hf 0.3054 0.0050 0.8812 1
Bi1 Bi 0.6207 0.7855 0.3198 1
Bi2 Bi 0.6802 0.3793 0.2145 1
Bi3 Bi 0.2145 0.6802 0.3793 1
Bi4 Bi 0.3793 0.2145 0.6802 1
Bi5 Bi 0.3198 0.6207 0.7855 1
Bi6 Bi 0.7855 0.3198 0.6207 1
Mo1 Mo 0.0000 0.0000 0.0000 1
# Crystal system: trigonal
# ΔH_f (0 K), meV/atom: -8
# Space-group type: R-3 (148)

No. 12
# AgRh4 | Alexandria via LeMat-Bulk | PBE | optimized geometry
data_AgRh4
_chemical_formula_sum 'Ag1 Rh4'
_symmetry_space_group_name_H-M 'P 1'
_symmetry_Int_Tables_number 1
_symmetry_space_group_name_Hall 'P 1'
_cell_length_a 11.4055
_cell_length_b 11.4055
_cell_length_c 11.4055
_cell_angle_alpha 13.87
_cell_angle_beta 13.87
_cell_angle_gamma 13.87
loop_
_atom_site_label
_atom_site_type_symbol
_atom_site_fract_x
_atom_site_fract_y
_atom_site_fract_z
_atom_site_occupancy
Rh1 Rh 0.5960 0.5960 0.5960 1
Rh2 Rh 0.1988 0.1988 0.1988 1
Rh3 Rh 0.8012 0.8012 0.8012 1
Rh4 Rh 0.4040 0.4040 0.4040 1
Ag1 Ag 0.0000 0.0000 0.0000 1
# Crystal system: trigonal
# ΔH_f (0 K), meV/atom: 132
# Space-group type: R-3m (166)
# E above lowest polymorph, eV/atom: 0.0081

Number 1: total moment 0.000 μB/f.u., volume 61.9 Å³/f.u.. Number 2: total moment 0.786 μB/f.u., volume 150.1 Å³/f.u.. Number 3: total moment 1.850 μB/f.u., volume 57.7 Å³/f.u.. Number 4: total moment 2.089 μB/f.u., volume 178.3 Å³/f.u.. Number 5: total moment 0.000 μB/f.u., volume 42.5 Å³/f.u.. Number 6: total moment 1.487 μB/f.u., volume 351.6 Å³/f.u.. Number 7: total moment 0.000 μB/f.u., volume 122.1 Å³/f.u.. Number 8: total moment 0.705 μB/f.u., volume 109.0 Å³/f.u.. Number 9: total moment 0.000 μB/f.u., volume 168.8 Å³/f.u.. Number 10: total moment 0.000 μB/f.u., volume 98.2 Å³/f.u.. Number 11: total moment 0.000 μB/f.u., volume 474.1 Å³/f.u.. Number 12: total moment 0.002 μB/f.u., volume 74.3 Å³/f.u..